Compound: La2YMgS
Source: the Alexandria database
Functional: PBE
Structure: relaxed

Cell: 5.5687 5.5687 5.2348 Å, 90.00 90.00 90.00°
Positions (direct):
Mg (0.5000, 0.5000, 0.5000)
La (0.0000, 0.5000, 0.0000)
Y (0.0000, 0.0000, 0.5000)
S (0.0000, 0.0000, 0.0000)
La (0.5000, 0.0000, 0.0000)

Properties
As for the total DFT energy (no corrections): -5.159 eV per atom. As for the density: 4.3 Mg/m³. Its crystal system is tetragonal. The raw formation energy comes out at -0.75 eV per atom.